Entry 1:
# CaNbTe2, optimized geometry, DFT PBE-GGA
# ΔE to the lowest computed polymorph in eV/f.u.: 0.86
data_CaNbTe2
_chemical_formula_sum 'Ca4 Nb4 Te8'
_cell_length_a 6.650
_cell_length_b 6.650
_cell_length_c 13.987
_cell_angle_alpha 90.00
_cell_angle_beta 90.00
_cell_angle_gamma 90.00
_symmetry_space_group_name_H-M 'I -4 2 d'
_symmetry_Int_Tables_number 122
_symmetry_space_group_name_Hall 'I -4 2bw'
loop_
_atom_site_label
_atom_site_fract_x
_atom_site_fract_y
_atom_site_fract_z
Ca1 0.000 0.000 0.000
Nb1 0.000 0.000 0.500
Te1 0.213 0.250 0.625

Entry 2:
# CaNbTe2, optimized geometry, DFT PBE-GGA
# ΔE to the lowest computed polymorph in eV/f.u.: 0.00
data_CaNbTe2
_chemical_formula_sum 'Ca1 Nb1 Te2'
_cell_length_a 3.570
_cell_length_b 3.570
_cell_length_c 7.555
_cell_angle_alpha 90.00
_cell_angle_beta 90.00
_cell_angle_gamma 90.00
_symmetry_space_group_name_H-M 'P 4/m m m'
_symmetry_Int_Tables_number 123
_symmetry_space_group_name_Hall '-P 4 2'
loop_
_atom_site_label
_atom_site_fract_x
_atom_site_fract_y
_atom_site_fract_z
Ca1 0.000 0.000 0.000
Nb1 0.000 0.000 0.500
Te1 0.500 0.500 0.281

no.,total magnetization (μB per cell),E_tot (eV per formula unit)
1,11.988,-19.8
2,0.000,-20.6